1.
The following is a DFT calculation (SCAN) of a crystal of LiRe2Cl relaxed with PBEsol. Values from VASP.

```
&SYSTEM
  ibrav = 0, nat = 4, ntyp = 3
/
ATOMIC_SPECIES
Li 6.94 Li.upf
Re 186.21 Re.upf
Cl 35.45 Cl.upf
ATOMIC_POSITIONS crystal
Li 0.0000 0.0000 0.0000
Re 0.5000 0.5000 0.2353
Re 0.5000 0.5000 0.7647
Cl 0.0000 0.0000 0.5000
CELL_PARAMETERS angstrom
2.6783 0.0000 0.0000
0.0000 4.7825 0.0000
0.0000 0.0000 4.9227
```

Properties
For the magnetization, the calculation gives 0.0000 μB/atom. The density is 10.9 g/cm³. The calculation puts the uncorrected formation energy at 0.99 eV/atom. Its symmetry is Pmmm, No. 47.



2.
The following is a DFT calculation (SCAN) of a crystal of LiRe4Cl relaxed with PBEsol. Values from VASP.

```
&SYSTEM
  ibrav = 0, nat = 6, ntyp = 3
/
ATOMIC_SPECIES
Li 6.94 Li.upf
Re 186.21 Re.upf
Cl 35.45 Cl.upf
ATOMIC_POSITIONS crystal
Li 0.0000 0.0000 0.0000
Re 0.3754 0.3754 0.3754
Re 0.3754 0.3754 0.8737
Re 0.3754 0.8737 0.3754
Re 0.8737 0.3754 0.3754
Cl 0.7500 0.7500 0.7500
CELL_PARAMETERS angstrom
0.0000 3.6740 3.6740
3.6740 0.0000 3.6740
3.6740 3.6740 0.0000
```

Properties
For the magnetization, the calculation gives 0.0000 μB/atom. The density is 13.2 g/cm³. The calculation puts the uncorrected formation energy at 1.09 eV/atom. Its symmetry is F-43m, No. 216.



3.
The following is a DFT calculation (SCAN) of a crystal of LiReCl2 relaxed with PBEsol. Values from VASP.

```
&SYSTEM
  ibrav = 0, nat = 4, ntyp = 3
/
ATOMIC_SPECIES
Li 6.94 Li.upf
Re 186.21 Re.upf
Cl 35.45 Cl.upf
ATOMIC_POSITIONS crystal
Li 0.0000 0.0000 0.0000
Re 0.6340 0.6340 0.5072
Cl 0.2176 0.2176 0.0115
Cl 0.4525 0.4525 0.4976
CELL_PARAMETERS angstrom
7.0742 -1.5232 0.0000
7.0742 1.5232 0.0000
-0.0337 0.0000 3.0474
```

Properties
For the magnetization, the calculation gives 0.0000 μB/atom. The density is 6.7 g/cm³. The calculation puts the uncorrected formation energy at -0.02 eV/atom. Its symmetry is Cm, No. 8. The calculation puts the energy relative to the lowest polymorph listed for this composition at 0.0 meV/atom.



4.
The following is a DFT calculation (SCAN) of a crystal of LiRhCl relaxed with PBEsol. Values from VASP.

```
&SYSTEM
  ibrav = 0, nat = 3, ntyp = 3
/
ATOMIC_SPECIES
Li 6.94 Li.upf
Rh 102.91 Rh.upf
Cl 35.45 Cl.upf
ATOMIC_POSITIONS crystal
Li 0.0000 0.0000 0.0000
Rh 0.2500 0.2500 0.2500
Cl 0.5000 0.5000 0.5000
CELL_PARAMETERS angstrom
0.0000 2.8547 2.8547
2.8547 0.0000 2.8547
2.8547 2.8547 0.0000
```

Properties
For the magnetization, the calculation gives 0.0002 μB/atom. The density is 5.2 g/cm³. The calculation puts the uncorrected formation energy at 0.07 eV/atom. Its symmetry is F-43m, No. 216. The calculation puts the energy relative to the lowest polymorph listed for this composition at 304.3 meV/atom.



5.
The following is a DFT calculation (SCAN) of a crystal of LiRhCl relaxed with PBEsol. Values from VASP.

```
&SYSTEM
  ibrav = 0, nat = 3, ntyp = 3
/
ATOMIC_SPECIES
Li 6.94 Li.upf
Rh 102.91 Rh.upf
Cl 35.45 Cl.upf
ATOMIC_POSITIONS crystal
Li 0.0000 0.0000 0.0000
Rh 0.3146 0.3146 0.6854
Cl 0.6516 0.6516 0.3484
CELL_PARAMETERS angstrom
0.0000 2.5635 5.7965
1.5113 0.0000 5.7965
1.5113 2.5635 0.0000
```

Properties
For the magnetization, the calculation gives 0.4508 μB/atom. The density is 5.4 g/cm³. The calculation puts the uncorrected formation energy at -0.14 eV/atom. Its symmetry is Fmm2, No. 42. The calculation puts the energy relative to the lowest polymorph listed for this composition at 93.7 meV/atom.



6.
The following is a DFT calculation (SCAN) of a crystal of LiRhCl relaxed with PBEsol. Values from VASP.

```
&SYSTEM
  ibrav = 0, nat = 3, ntyp = 3
/
ATOMIC_SPECIES
Li 6.94 Li.upf
Rh 102.91 Rh.upf
Cl 35.45 Cl.upf
ATOMIC_POSITIONS crystal
Li 0.0000 0.0000 0.0000
Rh 0.6667 0.3333 0.5000
Cl 0.3333 0.6667 0.5000
CELL_PARAMETERS angstrom
4.0445 0.0000 0.0000
-2.0223 3.5027 0.0000
0.0000 0.0000 3.0823
```

Properties
For the magnetization, the calculation gives 0.0000 μB/atom. The density is 5.5 g/cm³. The calculation puts the uncorrected formation energy at -0.24 eV/atom. Its symmetry is P-6m2, No. 187. The calculation puts the energy relative to the lowest polymorph listed for this composition at 0.0 meV/atom.



7.
The following is a DFT calculation (SCAN) of a crystal of Li2RuCl relaxed with PBEsol. Values from VASP.

```
&SYSTEM
  ibrav = 0, nat = 8, ntyp = 3
/
ATOMIC_SPECIES
Li 6.94 Li.upf
Ru 101.07 Ru.upf
Cl 35.45 Cl.upf
ATOMIC_POSITIONS crystal
Li 0.0800 0.1250 0.4550
Li 0.3750 0.9200 0.0450
Li 0.6700 0.6250 0.5450
Li 0.8750 0.3300 0.9550
Ru 0.2500 0.7500 0.5000
Ru 0.5000 0.5000 0.0000
Cl 0.0000 0.0000 0.0000
Cl 0.7500 0.2500 0.5000
CELL_PARAMETERS angstrom
-3.4308 3.4308 2.3652
3.4308 -3.4308 2.3652
3.4308 3.4308 -2.3652
```

Properties
For the magnetization, the calculation gives 0.2516 μB/atom. The density is 4.5 g/cm³. The calculation puts the uncorrected formation energy at 0.00 eV/atom. Its symmetry is I-42d, No. 122.



8.
The following is a DFT calculation (SCAN) of a crystal of LiRuCl relaxed with PBEsol. Values from VASP.

```
&SYSTEM
  ibrav = 0, nat = 3, ntyp = 3
/
ATOMIC_SPECIES
Li 6.94 Li.upf
Ru 101.07 Ru.upf
Cl 35.45 Cl.upf
ATOMIC_POSITIONS crystal
Li 0.0000 0.0000 0.0000
Ru 0.6850 0.6850 0.3150
Cl 0.3426 0.3426 0.6574
CELL_PARAMETERS angstrom
0.0000 2.5576 6.0054
1.4313 0.0000 6.0054
1.4313 2.5576 0.0000
```

Properties
For the magnetization, the calculation gives 0.0001 μB/atom. The density is 5.4 g/cm³. The calculation puts the uncorrected formation energy at 0.15 eV/atom. Its symmetry is Fmm2, No. 42.



9.
The following is a DFT calculation (SCAN) of a crystal of LiRuSCl2 relaxed with PBEsol. Values from VASP.

```
&SYSTEM
  ibrav = 0, nat = 5, ntyp = 4
/
ATOMIC_SPECIES
Li 6.94 Li.upf
Ru 101.07 Ru.upf
S 32.06 S.upf
Cl 35.45 Cl.upf
ATOMIC_POSITIONS crystal
Li 0.0000 0.0000 0.0000
Ru 0.5000 0.5000 0.5000
S 0.5000 0.5000 0.0000
Cl 0.0000 0.5000 0.5000
Cl 0.5000 0.0000 0.5000
CELL_PARAMETERS angstrom
4.9373 0.0000 0.0000
0.0000 4.9373 0.0000
0.0000 0.0000 4.3337
```

Properties
For the magnetization, the calculation gives 0.0001 μB/atom. The density is 3.3 g/cm³. The calculation puts the uncorrected formation energy at -0.56 eV/atom. Its symmetry is P4/mmm, No. 123.



10.
The following is a DFT calculation (SCAN) of a crystal of LiSnSCl2 relaxed with PBEsol. Values from VASP.

```
&SYSTEM
  ibrav = 0, nat = 5, ntyp = 4
/
ATOMIC_SPECIES
Li 6.94 Li.upf
Sn 118.71 Sn.upf
S 32.06 S.upf
Cl 35.45 Cl.upf
ATOMIC_POSITIONS crystal
Li 0.0000 0.0000 0.0000
Sn 0.5000 0.5000 0.5000
S 0.0000 0.0000 0.5000
Cl 0.0000 0.5000 0.0000
Cl 0.5000 0.0000 0.0000
CELL_PARAMETERS angstrom
4.5158 0.0000 0.0000
0.0000 4.5158 0.0000
0.0000 0.0000 4.8431
```

Properties
For the magnetization, the calculation gives 0.1998 μB/atom. The density is 3.8 g/cm³. The calculation puts the uncorrected formation energy at -0.65 eV/atom. Its symmetry is P4/mmm, No. 123.



11.
The following is a DFT calculation (SCAN) of a crystal of SrLiSCl2 relaxed with PBEsol. Values from VASP.

```
&SYSTEM
  ibrav = 0, nat = 5, ntyp = 4
/
ATOMIC_SPECIES
Sr 87.62 Sr.upf
Li 6.94 Li.upf
S 32.06 S.upf
Cl 35.45 Cl.upf
ATOMIC_POSITIONS crystal
Sr 0.0000 0.0000 0.0000
Li 0.5000 0.5000 0.5000
S 0.5000 0.5000 0.0000
Cl 0.0000 0.5000 0.5000
Cl 0.5000 0.0000 0.5000
CELL_PARAMETERS angstrom
4.6397 0.0000 0.0000
0.0000 4.6397 0.0000
0.0000 0.0000 4.8189
```

Properties
For the magnetization, the calculation gives 0.2014 μB/atom. The density is 3.2 g/cm³. The calculation puts the uncorrected formation energy at -1.70 eV/atom. Its symmetry is P4/mmm, No. 123.



12.
The following is a DFT calculation (SCAN) of a crystal of LiYSCl2 relaxed with PBEsol. Values from VASP.

```
&SYSTEM
  ibrav = 0, nat = 5, ntyp = 4
/
ATOMIC_SPECIES
Li 6.94 Li.upf
Y 88.91 Y.upf
S 32.06 S.upf
Cl 35.45 Cl.upf
ATOMIC_POSITIONS crystal
Li 0.0000 0.0000 0.0000
Y 0.5000 0.5000 0.5000
S 0.0000 0.0000 0.5000
Cl 0.0000 0.5000 0.0000
Cl 0.5000 0.0000 0.0000
CELL_PARAMETERS angstrom
4.3191 0.0000 0.0000
0.0000 4.3191 0.0000
0.0000 0.0000 4.9549
```

Properties
For the magnetization, the calculation gives 0.0000 μB/atom. The density is 3.6 g/cm³. The calculation puts the uncorrected formation energy at -1.69 eV/atom. Its symmetry is P4/mmm, No. 123.